1.
# MgCd2Co

A relaxed structure of MgCd2Co (GGA-PBE, Alexandria via LeMat-Bulk).

- energy relative to the elements (meV per atom) = 152
- crystal system = tetragonal

Cell: 5.2049 5.2049 5.2049 Å, 134.36 134.36 66.52°
Positions (direct):
Mg  0.0000  0.0000  0.0000
Cd  0.2500  0.7500  0.5000
Cd  0.5000  0.5000  0.0000
Co  0.7500  0.2500  0.5000

2.
# SrMgIn2Rh2

A relaxed structure of SrMgIn2Rh2 (GGA-PBE, Alexandria via LeMat-Bulk).

- energy relative to the elements (meV per atom) = -235
- crystal system = tetragonal

Cell: 4.7365 4.7365 6.2274 Å, 90.00 90.00 90.00°
Positions (direct):
Sr  0.0000  0.0000  0.0000
Mg  0.0000  0.0000  0.5000
In  0.5000  0.5000  0.2490
In  0.5000  0.5000  0.7510
Rh  0.0000  0.5000  0.5000
Rh  0.5000  0.0000  0.5000

3.
# KV6S8

A relaxed structure of KV6S8 (GGA-PBE, Alexandria via LeMat-Bulk).

- relative energy among the computed polymorphs (eV per atom) = 0.075
- crystal system = trigonal
- E_form (uncorrected) (eV/atom) = -0.9647

Cell: 6.4800 6.4800 6.4800 Å, 89.39 89.39 89.39°
Positions (direct):
K  0.0000  0.0000  0.0000
V  0.2098  0.4110  0.5665
V  0.4110  0.5665  0.2098
V  0.4335  0.7902  0.5890
V  0.5665  0.2098  0.4110
V  0.5890  0.4335  0.7901
V  0.7902  0.5890  0.4335
S  0.1281  0.7245  0.3965
S  0.2527  0.2527  0.2527
S  0.2755  0.6035  0.8719
S  0.3965  0.1281  0.7245
S  0.6035  0.8719  0.2755
S  0.7245  0.3965  0.1281
S  0.7473  0.7473  0.7473
S  0.8719  0.2755  0.6035

4.
# PmDy2Pt9

A relaxed structure of PmDy2Pt9 (GGA-PBE, Alexandria via LeMat-Bulk).

- energy relative to the elements (meV per atom) = -956
- crystal system = trigonal

Cell: 9.3817 9.3817 9.3817 Å, 33.63 33.63 33.63°
Positions (direct):
Pm  0.0000  0.0000  0.0000
Dy  0.1396  0.1396  0.1396
Dy  0.8604  0.8604  0.8604
Pt  0.0809  0.5880  0.5880
Pt  0.3331  0.3331  0.3331
Pt  0.4120  0.4120  0.9191
Pt  0.4120  0.9191  0.4120
Pt  0.5000  0.5000  0.5000
Pt  0.5880  0.0809  0.5880
Pt  0.5880  0.5880  0.0809
Pt  0.6669  0.6669  0.6669
Pt  0.9191  0.4120  0.4120

5.
# ScAl2Hg2

A relaxed structure of ScAl2Hg2 (GGA-PBE, Alexandria via LeMat-Bulk).

- energy relative to the elements (meV per atom) = -87
- relative energy among the computed polymorphs (eV per atom) = 0.000
- crystal system = tetragonal

Cell: 6.7853 6.7853 6.7853 Å, 144.67 144.67 50.82°
Positions (direct):
Sc  0.0000  0.0000  0.0000
Al  0.2500  0.7500  0.5000
Al  0.7500  0.2500  0.5000
Hg  0.3893  0.3893  0.0000
Hg  0.6107  0.6107  0.0000

6.
# Co2RhCl

A relaxed structure of Co2RhCl (GGA-PBE, Alexandria via LeMat-Bulk).

- relative energy among the computed polymorphs (eV per atom) = 0.374
- crystal system = tetragonal
- E_form (uncorrected) (eV/atom) = 0.5974

Cell: 4.4397 4.4397 2.7881 Å, 90.00 90.00 90.00°
Positions (direct):
Co  0.0000  0.5000  0.0000
Co  0.5000  0.0000  0.0000
Rh  0.0000  0.0000  0.5000
Cl  0.5000  0.5000  0.5000

7.
# MnZnFe2

A relaxed structure of MnZnFe2 (GGA-PBE, Alexandria via LeMat-Bulk).

- energy relative to the elements (meV per atom) = 104
- crystal system = trigonal

Cell: 8.5034 8.5034 8.5034 Å, 17.12 17.12 17.12°
Positions (direct):
Mn  0.0000  0.0000  0.0000
Zn  0.5000  0.5000  0.5000
Fe  0.2543  0.2543  0.2543
Fe  0.7457  0.7457  0.7457

8.
# CrNi3Rh12

A relaxed structure of CrNi3Rh12 (GGA-PBE, Alexandria via LeMat-Bulk).

- energy relative to the elements (meV per atom) = -1
- crystal system = tetragonal

Cell: 3.7915 3.7915 15.1406 Å, 90.00 90.00 90.00°
Positions (direct):
Cr  0.0000  0.0000  0.0000
Ni  0.0000  0.0000  0.2523
Ni  0.0000  0.0000  0.5000
Ni  0.0000  0.0000  0.7477
Rh  0.0000  0.5000  0.1234
Rh  0.0000  0.5000  0.3749
Rh  0.0000  0.5000  0.6251
Rh  0.0000  0.5000  0.8766
Rh  0.5000  0.0000  0.1234
Rh  0.5000  0.0000  0.3749
Rh  0.5000  0.0000  0.6251
Rh  0.5000  0.0000  0.8766
Rh  0.5000  0.5000  0.0000
Rh  0.5000  0.5000  0.2492
Rh  0.5000  0.5000  0.5000
Rh  0.5000  0.5000  0.7508

Per-record final energy, eV/atom: -2.48 -4.14 -6.89 -6.65 -2.97 -5.26 -6.74 -7.20